Arrangement i

Entry from Alexandria via LeMat-Bulk: Pm2Tm3Pt4 after structural relaxation (PBE-GGA).

Results
density of states at the Fermi level = 12.5 states/eV/cell
space group = Cmce, No. 64
total magnetic moment = 0.00 Bohr magnetons per cell

abc: 8.6722 8.6722 7.7326
angles: 90.00 90.00 131.43
Element x y z (fractional)
Pm  0.0989  0.9011  0.9005
Pm  0.4011  0.5989  0.4005
Pm  0.5989  0.4011  0.5995
Pm  0.9011  0.0989  0.0995
Tm  0.0000  0.0000  0.5000
Tm  0.0356  0.4644  0.7500
Tm  0.4644  0.0356  0.2500
Tm  0.5000  0.5000  0.0000
Tm  0.5356  0.9644  0.7500
Tm  0.9644  0.5356  0.2500
Pt  0.1896  0.8104  0.5488
Pt  0.2112  0.2888  0.7500
Pt  0.2888  0.2112  0.2500
Pt  0.3104  0.6896  0.0488
Pt  0.6896  0.3104  0.9512
Pt  0.7112  0.7888  0.7500
Pt  0.7888  0.7112  0.2500
Pt  0.8104  0.1896  0.4512

---

Arrangement ii

Entry from Alexandria via LeMat-Bulk: Pm2Tm3Pt4 after structural relaxation (PBE-GGA).

Results
density of states at the Fermi level = 10.6 states/eV/cell
space group = P2_1/c, No. 14
total magnetic moment = 0.00 Bohr magnetons per cell

abc: 7.5977 7.6371 7.7035
angles: 90.00 109.68 90.00
Element x y z (fractional)
Pm  0.1951  0.1772  0.0772
Pm  0.1951  0.3228  0.5772
Pm  0.8049  0.6772  0.4228
Pm  0.8049  0.8228  0.9228
Tm  0.2455  0.6638  0.2476
Tm  0.2455  0.8362  0.7476
Tm  0.5000  0.0000  0.5000
Tm  0.5000  0.5000  0.0000
Tm  0.7545  0.1638  0.2524
Tm  0.7545  0.3362  0.7524
Pt  0.0897  0.5392  0.8590
Pt  0.0897  0.9608  0.3590
Pt  0.4972  0.1350  0.8699
Pt  0.4972  0.3650  0.3699
Pt  0.5028  0.6350  0.6301
Pt  0.5028  0.8650  0.1301
Pt  0.9103  0.0392  0.6410
Pt  0.9103  0.4608  0.1410

---

Of them, arrangement ii has the highest stability.